(1)
# SmGa5CuPd2

Crystalline SmGa5CuPd2 at its relaxed geometry (GGA-PBE, the Alexandria database).

Cell and atoms, written as CIF:
```
data_SmGa5CuPd2
_symmetry_space_group_name_H-M 'P 1'
_symmetry_Int_Tables_number 1
_cell_length_a 4.258
_cell_length_b 4.258
_cell_length_c 10.161
_cell_angle_alpha 90.00
_cell_angle_beta 90.00
_cell_angle_gamma 90.00
loop_
_symmetry_equiv_pos_as_xyz
'x,y,z'
loop_
_atom_site_label
_atom_site_type_symbol
_atom_site_fract_x
_atom_site_fract_y
_atom_site_fract_z
Sm1 Sm 0.000 0.000 0.000
Ga1 Ga 0.000 0.500 0.360
Ga2 Ga 0.000 0.500 0.640
Ga3 Ga 0.500 0.000 0.360
Ga4 Ga 0.500 0.000 0.640
Ga5 Ga 0.500 0.500 0.000
Cu1 Cu 0.000 0.000 0.500
Pd1 Pd 0.500 0.500 0.231
Pd2 Pd 0.500 0.500 0.769
```

Values from the calculation:
- E: -4.102 eV/atom

=====

(2)
# SmGaCuPd

Crystalline SmGaCuPd at its relaxed geometry (GGA-PBE, the Alexandria database).

Cell and atoms, written as CIF:
```
data_SmGaCuPd
_symmetry_space_group_name_H-M 'P 1'
_symmetry_Int_Tables_number 1
_cell_length_a 5.281
_cell_length_b 5.281
_cell_length_c 5.281
_cell_angle_alpha 49.00
_cell_angle_beta 49.00
_cell_angle_gamma 49.00
loop_
_symmetry_equiv_pos_as_xyz
'x,y,z'
loop_
_atom_site_label
_atom_site_type_symbol
_atom_site_fract_x
_atom_site_fract_y
_atom_site_fract_z
Sm1 Sm 0.000 0.000 0.000
Ga1 Ga 0.493 0.493 0.493
Cu1 Cu 0.792 0.792 0.792
Pd1 Pd 0.211 0.211 0.211
```

Values from the calculation:
- E: -4.821 eV/atom

=====

Number 1: D(E_F) 3.19 states/eV/f.u.. Number 2: D(E_F) 2.93 states/eV/f.u..